An optimized crystal structure of NiSe2I2. Source: Alexandria, functional PBE-GGA.

Calculated values
* energy relative to the elements, uncorrected: 1 meV per atom
* DOS(E_F): 0.306 states/eV per cell
* total DFT energy (no corrections): -3.1692 eV/atom
* space-group type: C2/m (12)

abc: 6.953 6.953 7.999
angles: 97.01 97.01 102.53
Atoms (fractional coordinates):
Ni 0.148 0.852 0.000
Ni 0.852 0.148 0.000
Se 0.068 0.068 0.214
Se 0.202 0.202 0.915
Se 0.798 0.798 0.085
Se 0.932 0.932 0.786
I 0.254 0.638 0.762
I 0.362 0.746 0.238
I 0.638 0.254 0.762
I 0.746 0.362 0.238

=====

An optimized crystal structure of NiSe2I. Source: Alexandria, functional PBE-GGA.

Calculated values
* energy relative to the elements, uncorrected: 169 meV per atom
* DOS(E_F): 4.052 states/eV per cell
* total DFT energy (no corrections): -3.4058 eV/atom
* space-group type: I4_1/amd (141)

abc: 7.065 7.065 7.065
angles: 133.35 133.35 68.10
Atoms (fractional coordinates):
Ni 0.375 0.625 0.750
Ni 0.625 0.375 0.250
Se 0.176 0.426 0.750
Se 0.426 0.176 0.250
Se 0.574 0.824 0.750
Se 0.824 0.574 0.250
I 0.125 0.875 0.250
I 0.875 0.125 0.750